Entry 1:
Entry from Alexandria via LeMat-Bulk: a relaxed Ga5CuSe8 crystal (GGA-PBEsol).

Output
Raw total energy, eV/atom: -4.237
Formation energy from raw total energies, eV per atom: -0.53
Space-group type: P-42m (111)
V, Å³/f.u.: 325.0

```
Ga5CuSe8
1.0
-4.464 3.003 -0.709
-2.162 -2.155 4.486
4.477 8.082 6.040
Ga Cu Se
5 1 8
Direct
0.500 0.000 0.744 Ga
0.000 0.000 0.000 Ga
0.000 0.500 0.744 Ga
0.500 0.000 0.256 Ga
0.000 0.500 0.256 Ga
0.500 0.500 0.500 Cu
0.764 0.764 0.615 Se
0.730 0.270 0.885 Se
0.270 0.270 0.115 Se
0.730 0.730 0.115 Se
0.236 0.236 0.615 Se
0.764 0.236 0.385 Se
0.270 0.730 0.885 Se
0.236 0.764 0.385 Se
```


Entry 2:
Entry from Alexandria via LeMat-Bulk: a relaxed Ga7Cu3Se12 crystal (GGA-PBEsol).

Output
Raw total energy, eV/atom: -4.230
Formation energy from raw total energies, eV per atom: -0.48
Space-group type: Cm (8)
V, Å³/f.u.: 504.8

```
Ga7Cu3Se12
1.0
3.882 0.000 0.000
1.941 10.204 -0.070
1.941 1.405 12.733
Ga Se Cu
7 12 3
Direct
0.331 0.575 0.763 Ga
0.998 0.504 0.500 Ga
0.328 0.338 0.006 Ga
0.668 0.153 0.512 Ga
0.008 0.742 0.242 Ga
0.996 0.005 0.002 Ga
0.658 0.930 0.753 Ga
0.592 0.645 0.170 Se
0.923 0.464 0.691 Se
0.588 0.880 0.944 Se
0.248 0.312 0.192 Se
0.252 0.809 0.687 Se
0.915 0.733 0.436 Se
0.915 0.980 0.191 Se
0.589 0.391 0.430 Se
0.575 0.155 0.695 Se
0.245 0.566 0.945 Se
0.922 0.231 0.926 Se
0.255 0.059 0.430 Se
0.334 0.833 0.499 Cu
0.336 0.086 0.242 Cu
0.669 0.422 0.240 Cu
```


Entry 3:
Entry from Alexandria via LeMat-Bulk: a relaxed Ga2CuSe crystal (GGA-PBEsol).

Output
Raw total energy, eV/atom: -3.491
Formation energy from raw total energies, eV per atom: 0.22
Space-group type: Fm-3m (225)
V, Å³/f.u.: 70.4

```
Ga2CuSe
1.0
4.635 0.000 0.000
2.318 4.014 0.000
2.318 1.338 3.785
Cu Ga Se
1 2 1
Direct
0.000 0.000 0.000 Cu
0.750 0.750 0.750 Ga
0.250 0.250 0.250 Ga
0.500 0.500 0.500 Se
```


Entry 4:
Entry from Alexandria via LeMat-Bulk: a relaxed GaCuTeSe crystal (GGA-PBEsol).

Output
Raw total energy, eV/atom: -4.089
Formation energy from raw total energies, eV per atom: -0.33
Space-group type: I2_12_12_1 (24)
V, Å³/f.u.: 96.2

```
GaCuTeSe
1.0
5.776 0.000 0.000
0.000 5.792 0.000
-2.888 -2.896 5.750
Te Ga Se Cu
2 2 2 2
Direct
0.981 0.250 0.500 Te
0.519 0.750 0.500 Te
0.118 0.368 0.237 Ga
0.382 0.132 0.763 Ga
0.250 0.996 0.000 Se
0.750 0.504 0.000 Se
0.888 0.638 0.776 Cu
0.612 0.862 0.224 Cu
```


Entry 5:
Entry from Alexandria via LeMat-Bulk: a relaxed Tl2GaCu3Se4 crystal (GGA-PBEsol).

Output
Raw total energy, eV/atom: -3.994
Formation energy from raw total energies, eV per atom: -0.29
Space-group type: C222 (21)
V, Å³/f.u.: 209.4

```
Tl2GaCu3Se4
1.0
5.499 0.000 0.000
0.000 5.535 0.000
0.000 2.768 6.879
Tl Se Cu Ga
2 4 3 1
Direct
0.753 0.000 0.500 Tl
0.247 0.500 0.500 Tl
0.248 0.863 0.777 Se
0.752 0.359 0.777 Se
0.248 0.137 0.223 Se
0.752 0.641 0.223 Se
0.000 0.500 0.000 Cu
0.500 0.500 0.000 Cu
0.500 0.000 0.000 Cu
0.000 0.000 0.000 Ga
```


Entry 6:
Entry from Alexandria via LeMat-Bulk: a relaxed Zn2GaCuSe4 crystal (GGA-PBEsol).

Output
Raw total energy, eV/atom: -3.751
Energy relative to the lowest polymorph listed for this composition, meV/atom: 89
Formation energy from raw total energies, eV per atom: -0.47
Space-group type: R3m (160)
V, Å³/f.u.: 178.0

```
Zn2GaCuSe4
1.0
-0.829 1.990 3.354
1.914 -0.903 3.379
9.521 9.024 -0.630
Ga Se Zn Cu
1 4 2 1
Direct
0.750 0.750 0.751 Ga
0.813 0.813 0.561 Se
0.564 0.564 0.308 Se
0.058 0.058 0.826 Se
0.315 0.315 0.054 Se
0.503 0.503 0.492 Zn
0.254 0.254 0.239 Zn
0.994 0.994 0.019 Cu
```


Entry 7:
Entry from Alexandria via LeMat-Bulk: a relaxed Zn2GaCuSe4 crystal (GGA-PBEsol).

Output
Raw total energy, eV/atom: -3.840
Energy relative to the lowest polymorph listed for this composition, meV/atom: 0
Formation energy from raw total energies, eV per atom: -0.56
Space-group type: I-42m (121)
V, Å³/f.u.: 175.3

```
Zn2GaCuSe4
1.0
5.607 0.000 0.000
0.000 5.607 0.000
-2.804 -2.804 5.576
Se Ga Zn Cu
4 1 2 1
Direct
0.875 0.875 0.245 Se
0.369 0.369 0.245 Se
0.125 0.631 0.755 Se
0.631 0.125 0.755 Se
0.500 0.500 0.000 Ga
0.750 0.250 0.500 Zn
0.250 0.750 0.500 Zn
0.000 0.000 0.000 Cu
```


Entry 8:
Entry from Alexandria via LeMat-Bulk: a relaxed SmGa3Cu crystal (GGA-PBEsol).

Output
Formation energy, eV/atom: -0.54
Raw total energy, eV/atom: -4.429
Space-group type: I-4m2 (119)
V, Å³/f.u.: 87.5

```
SmGa3Cu
1.0
4.073 0.000 0.000
0.000 4.073 0.000
-2.036 -2.036 5.272
Cu Ga Sm
1 3 1
Direct
0.750 0.250 0.500 Cu
0.385 0.385 0.770 Ga
0.250 0.750 0.500 Ga
0.615 0.615 0.230 Ga
0.000 0.000 0.000 Sm
```


Entry 9:
Entry from Alexandria via LeMat-Bulk: a relaxed Ga2Cu2Sn crystal (GGA-PBEsol).

Output
Formation energy, eV/atom: 0.00
Raw total energy, eV/atom: -3.925
Space-group type: I4/mmm (139)
V, Å³/f.u.: 80.9

```
Ga2Cu2Sn
1.0
-2.937 2.264 -0.447
-1.902 -1.964 2.544
4.448 3.309 3.139
Sn Cu Ga
1 2 2
Direct
0.000 0.000 0.000 Sn
0.395 0.395 0.791 Cu
0.605 0.605 0.209 Cu
0.250 0.750 0.500 Ga
0.750 0.250 0.500 Ga
```


Entry 10:
Entry from Alexandria via LeMat-Bulk: a relaxed SrGa3Cu crystal (GGA-PBEsol).

Output
Formation energy, eV/atom: 1.42
Raw total energy, eV/atom: -1.819
Space-group type: Pm-3m (221)
V, Å³/f.u.: 177.7

```
SrGa3Cu
1.0
-0.493 5.593 -0.289
-1.093 0.188 5.512
5.493 0.540 1.071
Cu Sr Ga
1 1 3
Direct
0.500 0.500 0.500 Cu
0.000 0.000 0.000 Sr
0.000 0.000 0.500 Ga
0.500 0.000 0.000 Ga
0.000 0.500 0.000 Ga
```


Entry 11:
Entry from Alexandria via LeMat-Bulk: a relaxed SrGaCu2 crystal (GGA-PBEsol).

Output
Formation energy, eV/atom: -0.25
Raw total energy, eV/atom: -3.710
Space-group type: R-3m (166)
V, Å³/f.u.: 80.8

```
SrGaCu2
1.0
-0.944 3.892 -1.281
-2.427 0.568 -3.386
-5.415 1.457 1.515
Cu Ga Sr
2 1 1
Direct
0.189 0.189 0.433 Cu
0.811 0.811 0.567 Cu
0.500 0.500 0.500 Ga
0.000 0.000 0.000 Sr
```


Entry 12:
Entry from Alexandria via LeMat-Bulk: a relaxed Ga5CuTe8 crystal (GGA-PBEsol).

Output
Raw total energy, eV/atom: -3.780
Formation energy from raw total energies, eV per atom: -0.26
Space-group type: P-42m (111)
V, Å³/f.u.: 409.3

```
Ga5CuTe8
1.0
-4.132 4.162 -0.382
-2.711 -2.259 4.700
6.413 7.017 7.072
Te Ga Cu
8 5 1
Direct
0.727 0.727 0.115 Te
0.764 0.236 0.390 Te
0.236 0.764 0.390 Te
0.236 0.236 0.610 Te
0.273 0.273 0.115 Te
0.764 0.764 0.610 Te
0.727 0.273 0.885 Te
0.273 0.727 0.885 Te
0.000 0.500 0.743 Ga
0.000 0.000 0.000 Ga
0.000 0.500 0.257 Ga
0.500 0.000 0.743 Ga
0.500 0.000 0.257 Ga
0.500 0.500 0.500 Cu
```


Entry 13:
Entry from Alexandria via LeMat-Bulk: a relaxed YGaCuTe2 crystal (GGA-PBEsol).

Output
Raw total energy, eV/atom: -3.832
Formation energy from raw total energies, eV per atom: 0.48
Space-group type: P4/mmm (123)
V, Å³/f.u.: 145.3

```
YGaCuTe2
1.0
-3.531 -0.705 -3.778
1.608 -4.931 -0.582
-3.567 -1.592 3.631
Y Te Ga Cu
1 2 1 1
Direct
0.000 0.000 0.500 Y
0.000 0.500 0.000 Te
0.500 0.000 0.000 Te
0.000 0.000 0.000 Ga
0.500 0.500 0.500 Cu
```


Entry 14:
Entry from Alexandria via LeMat-Bulk: a relaxed TmGaCu2 crystal (GGA-PBEsol).

Output
Formation energy, eV/atom: -0.38
Raw total energy, eV/atom: -4.605
Space-group type: Fm-3m (225)
V, Å³/f.u.: 61.4

```
TmGaCu2
1.0
4.427 0.000 0.000
2.214 3.834 0.000
2.214 1.278 3.615
Cu Ga Tm
2 1 1
Direct
0.750 0.750 0.750 Cu
0.250 0.250 0.250 Cu
0.000 0.000 0.000 Ga
0.500 0.500 0.500 Tm
```


Entry 15:
Entry from Alexandria via LeMat-Bulk: a relaxed Tm2GaCu crystal (GGA-PBEsol).

Output
Formation energy, eV/atom: -0.45
Raw total energy, eV/atom: -4.813
Space-group type: Fm-3m (225)
V, Å³/f.u.: 80.5

```
Tm2GaCu
1.0
4.846 0.000 0.000
2.423 4.197 0.000
2.423 1.399 3.957
Tm Cu Ga
2 1 1
Direct
0.750 0.750 0.750 Tm
0.250 0.250 0.250 Tm
0.500 0.500 0.500 Cu
0.000 0.000 0.000 Ga
```


Entry 16:
Entry from Alexandria via LeMat-Bulk: a relaxed YGa2Cu2 crystal (GGA-PBEsol).

Output
Formation energy, eV/atom: -0.46
Raw total energy, eV/atom: -4.897
Space-group type: I4/mmm (139)
V, Å³/f.u.: 82.6

```
YGa2Cu2
1.0
4.111 0.000 0.000
0.000 4.111 0.000
-2.055 -2.055 4.890
Ga Cu Y
2 2 1
Direct
0.375 0.375 0.751 Ga
0.625 0.625 0.249 Ga
0.750 0.250 0.500 Cu
0.250 0.750 0.500 Cu
0.000 0.000 0.000 Y
```


Entry 17:
Entry from Alexandria via LeMat-Bulk: a relaxed Y3Ga7Cu4 crystal (GGA-PBEsol).

Output
Formation energy, eV/atom: -0.53
Raw total energy, eV/atom: -4.898
Space-group type: C2/m (12)
V, Å³/f.u.: 233.8

```
Y3Ga7Cu4
1.0
4.110 0.000 0.000
2.055 7.665 -0.028
2.055 2.014 7.414
Ga Cu Y
7 4 3
Direct
0.658 0.958 0.725 Ga
0.139 0.139 0.583 Ga
0.342 0.042 0.275 Ga
0.000 0.500 0.500 Ga
0.137 0.591 0.136 Ga
0.863 0.409 0.864 Ga
0.861 0.861 0.417 Ga
0.504 0.290 0.702 Cu
0.496 0.710 0.298 Cu
0.661 0.697 0.980 Cu
0.339 0.303 0.020 Cu
0.309 0.682 0.700 Y
0.000 0.000 0.000 Y
0.691 0.318 0.300 Y
```


Entry 18:
Entry from Alexandria via LeMat-Bulk: a relaxed Y3Ga9Cu2 crystal (GGA-PBEsol).

Output
Formation energy, eV/atom: -0.55
Raw total energy, eV/atom: -4.776
Space-group type: Immm (71)
V, Å³/f.u.: 243.2

```
Y3Ga9Cu2
1.0
-0.685 -1.944 -3.575
6.041 -5.238 -0.691
-3.202 -7.061 2.072
Cu Ga Y
2 9 3
Direct
0.500 0.719 0.281 Cu
0.500 0.281 0.719 Cu
0.662 0.966 0.710 Ga
0.869 0.409 0.853 Ga
0.338 0.290 0.034 Ga
0.338 0.034 0.290 Ga
0.131 0.147 0.591 Ga
0.869 0.853 0.409 Ga
0.662 0.710 0.966 Ga
0.131 0.591 0.147 Ga
0.000 0.500 0.500 Ga
0.319 0.681 0.681 Y
0.000 0.000 0.000 Y
0.681 0.319 0.319 Y
```


Entry 19:
Entry from Alexandria via LeMat-Bulk: a relaxed ZrGa3Cu crystal (GGA-PBEsol).

Output
Formation energy, eV/atom: 1.02
Raw total energy, eV/atom: -3.664
Space-group type: Pm-3m (221)
V, Å³/f.u.: 132.7

```
ZrGa3Cu
1.0
-0.637 0.658 -5.017
4.438 -2.358 -0.873
-2.432 -4.474 -0.278
Zr Ga Cu
1 3 1
Direct
0.000 0.000 0.000 Zr
0.000 0.500 0.000 Ga
0.000 0.000 0.500 Ga
0.500 0.000 0.000 Ga
0.500 0.500 0.500 Cu
```


Entry 20:
Entry from Alexandria via LeMat-Bulk: a relaxed ZrGa2Cu2 crystal (GGA-PBEsol).

Output
Formation energy, eV/atom: -0.35
Raw total energy, eV/atom: -5.238
Space-group type: I4/mmm (139)
V, Å³/f.u.: 75.5

```
ZrGa2Cu2
1.0
3.845 0.000 0.000
0.000 3.845 0.000
-1.922 -1.922 5.107
Cu Zr Ga
2 1 2
Direct
0.750 0.250 0.500 Cu
0.250 0.750 0.500 Cu
0.000 0.000 0.000 Zr
0.615 0.615 0.229 Ga
0.385 0.385 0.771 Ga
```